First-principles (PBE-GGA) data for a relaxed structure of K2CaPb, as listed in the Alexandria database.

POSCAR file:
```
K2CaPb
1.0
5.030 0.000 0.000
0.000 5.030 0.000
0.000 0.000 6.321
K Ca Pb
2 1 1
direct
0.000 0.500 0.000
0.500 0.000 0.000
0.000 0.000 0.500
0.500 0.500 0.500
```

Summary:
**Formation energy from the elements**: -0.04 eV per atom

=====

First-principles (PBE-GGA) data for a relaxed structure of KCa4Pb, as listed in the Alexandria database.

POSCAR file:
```
KCa4Pb
1.0
0.000 5.047 5.047
5.047 0.000 5.047
5.047 5.047 0.000
K Ca Pb
1 4 1
direct
0.000 0.000 0.000
0.376 0.376 0.376
0.376 0.376 0.871
0.376 0.871 0.376
0.871 0.376 0.376
0.750 0.750 0.750
```

Summary:
**Formation energy from the elements**: 0.15 eV per atom

=====

First-principles (PBE-GGA) data for a relaxed structure of K2CaPb, as listed in the Alexandria database.

POSCAR file:
```
K2CaPb
1.0
3.890 0.000 0.000
0.000 3.890 0.000
0.000 0.000 11.906
K Ca Pb
2 1 1
direct
0.000 0.000 0.209
0.000 0.000 0.791
0.500 0.500 0.500
0.500 0.500 0.000
```

Summary:
**Formation energy from the elements**: 0.09 eV per atom

=====

First-principles (PBE-GGA) data for a relaxed structure of K2CaPb, as listed in the Alexandria database.

POSCAR file:
```
K2CaPb
1.0
3.922 0.000 0.000
0.000 6.206 0.000
0.000 0.000 6.971
K Ca Pb
2 1 1
direct
0.000 0.000 0.228
0.000 0.000 0.772
0.500 0.500 0.500
0.500 0.500 0.000
```

Summary:
**Formation energy from the elements**: 0.03 eV per atom

=====

First-principles (PBE-GGA) data for a relaxed structure of KCa3Pb, as listed in the Alexandria database.

POSCAR file:
```
KCa3Pb
1.0
6.215 0.000 0.000
0.000 6.215 0.000
0.000 0.000 6.215
K Ca Pb
1 3 1
direct
0.000 0.000 0.000
0.000 0.500 0.500
0.500 0.000 0.500
0.500 0.500 0.000
0.500 0.500 0.500
```

Summary:
**Formation energy from the elements**: -0.09 eV per atom
**Relative energy among the computed polymorphs**: 0.000 eV per atom

=====

First-principles (PBE-GGA) data for a relaxed structure of KCa2Pb, as listed in the Alexandria database.

POSCAR file:
```
KCa2Pb
1.0
-2.644 2.644 11.642
2.644 -2.644 11.642
2.644 2.644 -11.642
K Ca Pb
2 4 2
direct
0.000 0.000 0.000
0.750 0.250 0.500
0.158 0.625 0.033
0.375 0.408 0.533
0.592 0.125 0.967
0.875 0.842 0.467
0.250 0.750 0.500
0.500 0.500 0.000
```

Summary:
**Formation energy from the elements**: 0.12 eV per atom

=====

First-principles (PBE-GGA) data for a relaxed structure of KCa2Pb, as listed in the Alexandria database.

POSCAR file:
```
KCa2Pb
1.0
-1.883 2.658 8.970
1.883 -2.658 8.970
1.883 2.658 -8.970
K Ca Pb
1 2 1
direct
0.000 0.000 0.000
0.321 0.821 0.500
0.665 0.665 0.000
0.818 0.318 0.500
```

Summary:
**Formation energy from the elements**: -0.15 eV per atom

=====

First-principles (PBE-GGA) data for a relaxed structure of KCaPb, as listed in the Alexandria database.

POSCAR file:
```
KCaPb
1.0
5.673 0.000 0.000
-2.836 4.913 0.000
0.000 0.000 3.871
K Ca Pb
1 1 1
direct
0.000 0.000 0.000
0.333 0.667 0.639
0.667 0.333 0.378
```

Summary:
**Formation energy from the elements**: -0.14 eV per atom
**Relative energy among the computed polymorphs**: 0.069 eV per atom

=====

First-principles (PBE-GGA) data for a relaxed structure of KCa2Pb, as listed in the Alexandria database.

POSCAR file:
```
KCa2Pb
1.0
0.000 4.178 4.178
4.178 0.000 4.178
4.178 4.178 0.000
K Ca Pb
1 2 1
direct
0.000 0.000 0.000
0.250 0.250 0.250
0.500 0.500 0.500
0.750 0.750 0.750
```

Summary:
**Formation energy from the elements**: -0.08 eV per atom

=====

First-principles (PBE-GGA) data for a relaxed structure of KCa2Pb, as listed in the Alexandria database.

POSCAR file:
```
KCa2Pb
1.0
-2.657 2.657 5.117
2.657 -2.657 5.117
2.657 2.657 -5.117
K Ca Pb
1 2 1
direct
0.000 0.000 0.000
0.500 0.500 0.000
0.750 0.250 0.500
0.250 0.750 0.500
```

Summary:
**Formation energy from the elements**: -0.08 eV per atom

=====

First-principles (PBE-GGA) data for a relaxed structure of KCaPb, as listed in the Alexandria database.

POSCAR file:
```
KCaPb
1.0
0.000 4.029 4.029
4.029 0.000 4.029
4.029 4.029 0.000
K Ca Pb
1 1 1
direct
0.000 0.000 0.000
0.500 0.500 0.500
0.250 0.250 0.250
```

Summary:
**Formation energy from the elements**: -0.08 eV per atom
**Relative energy among the computed polymorphs**: 0.128 eV per atom

=====

First-principles (PBE-GGA) data for a relaxed structure of KCa2Pb, as listed in the Alexandria database.

POSCAR file:
```
KCa2Pb
1.0
3.900 0.000 0.000
0.000 3.900 0.000
0.000 0.000 10.908
K Ca Pb
1 2 1
direct
0.000 0.000 0.000
0.500 0.500 0.321
0.500 0.500 0.679
0.000 0.000 0.500
```

Summary:
**Formation energy from the elements**: -0.20 eV per atom